# CuTcCl2 PBE relaxed
data_CuTcCl2
_chemical_formula_sum 'Cu1 Tc1 Cl2'
_cell_length_a 3.314
_cell_length_b 3.211
_cell_length_c 7.819
_cell_angle_alpha 90.00
_cell_angle_beta 101.97
_cell_angle_gamma 90.00
_space_group_name_H-M_alt 'P 1 m 1'
_space_group_IT_number 6
loop_
_space_group_symop_operation_xyz
'x,y,z'
'x,-y,z'
loop_
_atom_site_label
_atom_site_fract_x
_atom_site_fract_y
_atom_site_fract_z
_atom_site_occupancy
Cu1 0.000 0.000 0.000 1
Tc1 0.423 0.500 0.842 1
Cl1 0.314 0.000 0.620 1
Cl2 0.581 0.500 0.162 1
# - E above lowest polymorph: 0.0000 eV per atom
# - Calculated density: 4.74 g cm⁻³
# - Formation energy (no corrections): -0.005 eV/atom
# - Total magnetization: 0.00 μB/atom
# - Crystal system: monoclinic